# 1
CuSe2Br: optimized geometry, PBE.

a = 5.143 Å, b = 5.143 Å, c = 3.033 Å
α = 90.00°, β = 90.00°, γ = 90.00°
Element x y z (fractional)
Br (0.500, 0.000, 0.500)
Cu (0.000, 0.500, 0.500)
Se (0.000, 0.000, 0.000)
Se (0.500, 0.500, 0.000)

Results
Calculated total energy = -2.5406 eV/atom
Energy above the most stable polymorph in this dataset = 3.41 eV/f.u.
Fermi-level density of states = 0.84 states/eV per atom
Calculated volume = 20.058 Å³ per atom


# 2
CuSe2Br: optimized geometry, PBE.

a = 5.788 Å, b = 5.788 Å, c = 5.788 Å
α = 143.83°, β = 94.48°, γ = 96.58°
Element x y z (fractional)
Br (0.451, 0.451, 0.000)
Cu (0.244, 0.744, 0.500)
Se (0.019, 0.019, 0.000)
Se (0.786, 0.286, 0.500)

Results
Calculated total energy = -3.0249 eV/atom
Energy above the most stable polymorph in this dataset = 1.48 eV/f.u.
Fermi-level density of states = 0.74 states/eV per atom
Calculated volume = 27.193 Å³ per atom


# 3
CuSe2Br: optimized geometry, PBE.

a = 4.711 Å, b = 4.131 Å, c = 7.907 Å
α = 44.17°, β = 90.00°, γ = 90.00°
Element x y z (fractional)
Br (0.000, 0.358, 0.576)
Cu (0.500, 0.012, 0.811)
Se (0.000, 0.919, 0.083)
Se (0.500, 0.211, 0.030)

Results
Calculated total energy = -3.1372 eV/atom
Energy above the most stable polymorph in this dataset = 1.03 eV/f.u.
Fermi-level density of states = 0.46 states/eV per atom
Calculated volume = 26.800 Å³ per atom


# 4
CuSiSe2Br: optimized geometry, PBE.

a = 4.824 Å, b = 4.824 Å, c = 4.856 Å
α = 90.00°, β = 90.00°, γ = 90.00°
Element x y z (fractional)
Si (0.500, 0.500, 0.500)
Cu (0.000, 0.000, 0.000)
Se (0.000, 0.500, 0.000)
Se (0.500, 0.000, 0.000)
Br (0.000, 0.000, 0.500)

Results
Calculated total energy = -3.1236 eV/atom
Energy above the most stable polymorph in this dataset = 0.16 eV/f.u.
Fermi-level density of states = 0.67 states/eV per atom
Calculated volume = 22.605 Å³ per atom


# 5
CuSiSe2Br: optimized geometry, PBE.

a = 4.817 Å, b = 4.817 Å, c = 5.161 Å
α = 90.00°, β = 90.00°, γ = 90.00°
Element x y z (fractional)
Si (0.000, 0.000, 0.000)
Cu (0.500, 0.500, 0.500)
Se (0.000, 0.500, 0.000)
Se (0.500, 0.000, 0.000)
Br (0.000, 0.000, 0.500)

Results
Calculated total energy = -3.1560 eV/atom
Energy above the most stable polymorph in this dataset = 0.00 eV/f.u.
Fermi-level density of states = 0.83 states/eV per atom
Calculated volume = 23.952 Å³ per atom


# 6
Sm4CuSe2Br: optimized geometry, PBE.

a = 4.037 Å, b = 7.316 Å, c = 7.368 Å
α = 72.34°, β = 90.00°, γ = 90.00°
Element x y z (fractional)
Sm (0.000, 0.761, 0.729)
Sm (0.000, 0.239, 0.271)
Sm (0.500, 0.739, 0.267)
Sm (0.500, 0.261, 0.733)
Cu (0.000, 0.500, 0.500)
Se (0.000, 0.000, 0.000)
Se (0.500, 0.000, 0.500)
Br (0.500, 0.500, 0.000)

Results
Calculated total energy = -5.1861 eV/atom
Fermi-level density of states = 0.42 states/eV per atom
Calculated volume = 25.920 Å³ per atom


# 7
Cu2SnSe2Br: optimized geometry, PBE.

a = 4.880 Å, b = 7.068 Å, c = 9.729 Å
α = 111.04°, β = 90.00°, γ = 90.00°
Element x y z (fractional)
Cu (0.500, 0.134, 0.187)
Cu (0.000, 0.134, 0.187)
Cu (0.000, 0.866, 0.813)
Cu (0.500, 0.866, 0.813)
Sn (0.750, 0.301, 0.536)
Sn (0.250, 0.699, 0.464)
Se (0.250, 0.074, 0.381)
Se (0.250, 0.547, 0.695)
Se (0.750, 0.926, 0.619)
Se (0.750, 0.453, 0.305)
Br (0.250, 0.193, 0.969)
Br (0.750, 0.807, 0.031)

Results
Calculated total energy = -3.6909 eV/atom
Fermi-level density of states = 0.46 states/eV per atom
Calculated volume = 26.103 Å³ per atom


# 8
CuSnSe2Br: optimized geometry, PBE.

a = 4.849 Å, b = 4.849 Å, c = 5.082 Å
α = 90.00°, β = 90.00°, γ = 90.00°
Element x y z (fractional)
Cu (0.000, 0.000, 0.000)
Se (0.000, 0.500, 0.000)
Se (0.500, 0.000, 0.000)
Sn (0.500, 0.500, 0.500)
Br (0.000, 0.000, 0.500)

Results
Calculated total energy = -3.3245 eV/atom
Energy above the most stable polymorph in this dataset = 0.00 eV/f.u.
Fermi-level density of states = 0.62 states/eV per atom
Calculated volume = 23.892 Å³ per atom


# 9
TaCuSe2Br: optimized geometry, PBE.

a = 5.017 Å, b = 5.017 Å, c = 5.173 Å
α = 90.00°, β = 90.00°, γ = 90.00°
Element x y z (fractional)
Cu (0.500, 0.500, 0.500)
Se (0.000, 0.500, 0.000)
Se (0.500, 0.000, 0.000)
Br (0.000, 0.000, 0.500)
Ta (0.000, 0.000, 0.000)

Results
Calculated total energy = -4.7323 eV/atom
Energy above the most stable polymorph in this dataset = 0.00 eV/f.u.
Fermi-level density of states = 0.52 states/eV per atom
Calculated volume = 26.046 Å³ per atom


# 10
TaCuSeBr2: optimized geometry, PBE.

a = 4.823 Å, b = 4.823 Å, c = 4.913 Å
α = 90.00°, β = 90.00°, γ = 90.00°
Element x y z (fractional)
Cu (0.000, 0.000, 0.000)
Se (0.000, 0.000, 0.500)
Br (0.000, 0.500, 0.000)
Br (0.500, 0.000, 0.000)
Ta (0.500, 0.500, 0.500)

Results
Calculated total energy = -3.7586 eV/atom
Energy above the most stable polymorph in this dataset = 2.83 eV/f.u.
Fermi-level density of states = 0.82 states/eV per atom
Calculated volume = 22.856 Å³ per atom


# 11
TaCuSe2Br: optimized geometry, PBE.

a = 4.784 Å, b = 4.784 Å, c = 4.718 Å
α = 90.00°, β = 90.00°, γ = 90.00°
Element x y z (fractional)
Cu (0.000, 0.000, 0.000)
Se (0.000, 0.500, 0.000)
Se (0.500, 0.000, 0.000)
Br (0.000, 0.000, 0.500)
Ta (0.500, 0.500, 0.500)

Results
Calculated total energy = -4.1311 eV/atom
Energy above the most stable polymorph in this dataset = 3.01 eV/f.u.
Fermi-level density of states = 0.69 states/eV per atom
Calculated volume = 21.590 Å³ per atom


# 12
TaCuSeBr2: optimized geometry, PBE.

a = 5.153 Å, b = 5.153 Å, c = 5.008 Å
α = 90.00°, β = 90.00°, γ = 90.00°
Element x y z (fractional)
Cu (0.500, 0.500, 0.500)
Se (0.000, 0.000, 0.500)
Br (0.000, 0.500, 0.000)
Br (0.500, 0.000, 0.000)
Ta (0.000, 0.000, 0.000)

Results
Calculated total energy = -4.3252 eV/atom
Energy above the most stable polymorph in this dataset = 0.00 eV/f.u.
Fermi-level density of states = 0.82 states/eV per atom
Calculated volume = 26.593 Å³ per atom


Computed ΔE_f (raw), in the same sequence as the records: 2.576; 0.639; 0.189; 2.543; 2.381; -9.874; -1.308; 0.119; 0.929; 3.986; 3.935; 1.153 eV per formula unit.